# 1
This record from Alexandria via LeMat-Bulk describes Y2PbO5 after structural relaxation. The functional is PBE.

```
data_Y2PbO5
_symmetry_space_group_name_H-M 'P n m a'
_symmetry_Int_Tables_number 62
_cell_length_a 9.738
_cell_length_b 6.678
_cell_length_c 6.322
_cell_angle_alpha 90.00
_cell_angle_beta 90.00
_cell_angle_gamma 90.00
loop_
_symmetry_equiv_pos_as_xyz
'x,y,z'
'-x,-y,-z'
'-x+1/2,-y,z+1/2'
'x+1/2,y,-z+1/2'
'x+1/2,-y+1/2,-z+1/2'
'-x+1/2,y+1/2,z+1/2'
'-x,y+1/2,-z'
'x,-y+1/2,z'
loop_
_atom_site_label
_atom_site_type_symbol
_atom_site_fract_x
_atom_site_fract_y
_atom_site_fract_z
Y1 Y 0.169 0.000 0.024
Pb1 Pb 0.000 0.250 0.499
O1 O 0.000 0.250 0.000
O2 O 0.101 0.000 0.665
O3 O 0.199 0.250 0.323
O4 O 0.199 0.750 0.324
```

Results
Formation energy from raw total energies in eV/atom: -2.502
Total magnetization in μB/f.u.: 0.00
E in eV/atom: -7.68
Calculated volume in Å³/cell: 411.1

# 2
This record from Alexandria via LeMat-Bulk describes Tb2NdErTm after structural relaxation. The functional is PBE.

```
data_Tb2NdErTm
_symmetry_space_group_name_H-M 'C m c m'
_symmetry_Int_Tables_number 63
_symmetry_space_group_name_Hall '-C 2c 2'
_cell_length_a 8.383
_cell_length_b 11.451
_cell_length_c 7.200
_cell_angle_alpha 90.00
_cell_angle_beta 90.00
_cell_angle_gamma 90.00
loop_
_atom_site_label
_atom_site_type_symbol
_atom_site_fract_x
_atom_site_fract_y
_atom_site_fract_z
Tb1 Tb 0.191 0.000 0.000
Nd1 Nd 0.000 0.229 0.250
Er1 Er 0.000 0.500 0.250
Tm1 Tm 0.000 0.223 0.750
```

Results
Total magnetization in μB/f.u.: 0.00
E in eV/atom: -4.22
Calculated volume in Å³/cell: 691.2
Formation energy in meV per atom: 389

# 3
This record from Alexandria via LeMat-Bulk describes Be2NOF after structural relaxation. The functional is PBE.

```
data_Be2NOF
_symmetry_space_group_name_H-M 'P 4/m m m'
_symmetry_Int_Tables_number 123
_symmetry_space_group_name_Hall '-P 4 2'
_cell_length_a 3.426
_cell_length_b 3.426
_cell_length_c 3.511
_cell_angle_alpha 90.00
_cell_angle_beta 90.00
_cell_angle_gamma 90.00
loop_
_atom_site_label
_atom_site_type_symbol
_atom_site_fract_x
_atom_site_fract_y
_atom_site_fract_z
Be1 Be 0.000 0.500 0.000
N1 N 0.000 0.000 0.000
O1 O 0.000 0.000 0.500
F1 F 0.500 0.500 0.500
```

Results
Formation energy from raw total energies in eV/atom: -0.237
Total magnetization in μB/f.u.: 0.07
E in eV/atom: -4.76
Calculated volume in Å³/cell: 41.2

Copy entry 3 word for word.
This record from Alexandria via LeMat-Bulk describes Be2NOF after structural relaxation. The functional is PBE.

```
data_Be2NOF
_symmetry_space_group_name_H-M 'P 4/m m m'
_symmetry_Int_Tables_number 123
_symmetry_space_group_name_Hall '-P 4 2'
_cell_length_a 3.426
_cell_length_b 3.426
_cell_length_c 3.511
_cell_angle_alpha 90.00
_cell_angle_beta 90.00
_cell_angle_gamma 90.00
loop_
_atom_site_label
_atom_site_type_symbol
_atom_site_fract_x
_atom_site_fract_y
_atom_site_fract_z
Be1 Be 0.000 0.500 0.000
N1 N 0.000 0.000 0.000
O1 O 0.000 0.000 0.500
F1 F 0.500 0.500 0.500
```

Results
Formation energy from raw total energies in eV/atom: -0.237
Total magnetization in μB/f.u.: 0.07
E in eV/atom: -4.76
Calculated volume in Å³/cell: 41.2

Copy entry 3 word for word.
This record from Alexandria via LeMat-Bulk describes Be2NOF after structural relaxation. The functional is PBE.

```
data_Be2NOF
_symmetry_space_group_name_H-M 'P 4/m m m'
_symmetry_Int_Tables_number 123
_symmetry_space_group_name_Hall '-P 4 2'
_cell_length_a 3.426
_cell_length_b 3.426
_cell_length_c 3.511
_cell_angle_alpha 90.00
_cell_angle_beta 90.00
_cell_angle_gamma 90.00
loop_
_atom_site_label
_atom_site_type_symbol
_atom_site_fract_x
_atom_site_fract_y
_atom_site_fract_z
Be1 Be 0.000 0.500 0.000
N1 N 0.000 0.000 0.000
O1 O 0.000 0.000 0.500
F1 F 0.500 0.500 0.500
```

Results
Formation energy from raw total energies in eV/atom: -0.237
Total magnetization in μB/f.u.: 0.07
E in eV/atom: -4.76
Calculated volume in Å³/cell: 41.2

What did the third record say?
This record from Alexandria via LeMat-Bulk describes Be2NOF after structural relaxation. The functional is PBE.

```
data_Be2NOF
_symmetry_space_group_name_H-M 'P 4/m m m'
_symmetry_Int_Tables_number 123
_symmetry_space_group_name_Hall '-P 4 2'
_cell_length_a 3.426
_cell_length_b 3.426
_cell_length_c 3.511
_cell_angle_alpha 90.00
_cell_angle_beta 90.00
_cell_angle_gamma 90.00
loop_
_atom_site_label
_atom_site_type_symbol
_atom_site_fract_x
_atom_site_fract_y
_atom_site_fract_z
Be1 Be 0.000 0.500 0.000
N1 N 0.000 0.000 0.000
O1 O 0.000 0.000 0.500
F1 F 0.500 0.500 0.500
```

Results
Formation energy from raw total energies in eV/atom: -0.237
Total magnetization in μB/f.u.: 0.07
E in eV/atom: -4.76
Calculated volume in Å³/cell: 41.2

Please write out number 3 again, unchanged.
This record from Alexandria via LeMat-Bulk describes Be2NOF after structural relaxation. The functional is PBE.

```
data_Be2NOF
_symmetry_space_group_name_H-M 'P 4/m m m'
_symmetry_Int_Tables_number 123
_symmetry_space_group_name_Hall '-P 4 2'
_cell_length_a 3.426
_cell_length_b 3.426
_cell_length_c 3.511
_cell_angle_alpha 90.00
_cell_angle_beta 90.00
_cell_angle_gamma 90.00
loop_
_atom_site_label
_atom_site_type_symbol
_atom_site_fract_x
_atom_site_fract_y
_atom_site_fract_z
Be1 Be 0.000 0.500 0.000
N1 N 0.000 0.000 0.000
O1 O 0.000 0.000 0.500
F1 F 0.500 0.500 0.500
```

Results
Formation energy from raw total energies in eV/atom: -0.237
Total magnetization in μB/f.u.: 0.07
E in eV/atom: -4.76
Calculated volume in Å³/cell: 41.2